No. 1
First-principles (PBE) data for a geometry-optimized Na2Sb2Br7 structure, as listed in Alexandria via LeMat-Bulk.

As for the raw total energy: -2.867 eV/atom. As for the energy relative to the elements, uncorrected: -0.813 eV per atom.

Cell: 7.499 7.499 7.719 Å, 94.49 94.49 107.54°
Fractional positions:
Na: 0.196 0.804 0.000
Na: 0.804 0.196 0.000
Sb: 0.190 0.190 0.543
Sb: 0.810 0.810 0.457
Br: 0.037 0.410 0.744
Br: 0.157 0.157 0.181
Br: 0.410 0.037 0.744
Br: 0.500 0.500 0.500
Br: 0.590 0.963 0.256
Br: 0.843 0.843 0.819
Br: 0.963 0.590 0.256

No. 2
First-principles (PBE) data for a geometry-optimized LaHoPuN3 structure, as listed in Alexandria via LeMat-Bulk.

As for the raw total energy: -9.145 eV/atom. As for the energy relative to the elements, uncorrected: -1.010 eV per atom.

Cell: 7.324 3.606 8.628 Å, 90.00 99.13 90.00°
Fractional positions:
La: 0.173 0.250 0.148
La: 0.827 0.750 0.852
Ho: 0.367 0.750 0.852
Ho: 0.633 0.250 0.148
Pu: 0.067 0.250 0.591
Pu: 0.933 0.750 0.409
N: 0.114 0.250 0.849
N: 0.228 0.750 0.589
N: 0.397 0.750 0.122
N: 0.603 0.250 0.878
N: 0.772 0.250 0.411
N: 0.886 0.750 0.151